The following is a DFT calculation (PBE) of a relaxed SmInPb crystal.

Calculated values
Its symmetry is Cmcm. The magnetization is 0.0 μB per formula unit. The formation energy is -304.3 meV/atom. The value obtained for the energy relative to the lowest polymorph listed for this composition is 0.102 eV/atom.

Unit cell a=5.9775 b=6.6177 c=5.3327 alpha=90.00 beta=124.09 gamma=90.00
With the nearest neighbours (Å) after each atom.
Fractional positions:
Pb (0.0000, 0.5000, 0.5000)  2 In 3.27, 2 Pb 3.31, 2 Sm 3.31
In (0.6807, 0.2500, 0.8614)  5 Sm 3.14-3.31, 2 Pb 3.27
Pb (0.0000, 0.0000, 0.5000)  2 In 3.27, 2 Pb 3.31, 2 Sm 3.31
In (0.3193, 0.7500, 0.1386)  5 Sm 3.14-3.31, 2 Pb 3.27
Sm (0.3250, 0.2500, 0.1501)  5 In 3.14-3.31, 2 Pb 3.31
Sm (0.6750, 0.7500, 0.8499)  5 In 3.14-3.31, 2 Pb 3.31

---

The following is a DFT calculation (PBE) of a relaxed Ce4MgIn crystal.

Calculated values
Its symmetry is Immm. The magnetization is 1.6 μB per formula unit. The formation energy is -123.5 meV/atom.

Unit cell a=5.5207 b=6.1071 c=6.1071 alpha=96.03 beta=63.11 gamma=63.11
With the nearest neighbours (Å) after each atom.
Fractional positions:
Ce (0.2593, 0.3919, 0.0887)  2 Ce 2.75-2.89
Ce (0.7406, 0.6081, 0.9113)  2 Ce 2.75-2.89
Ce (0.7406, 0.9113, 0.6081)  2 Ce 2.75-2.89
In (0.5000, 0.5000, 0.5000)  2 Mg 3.01
Mg (0.0000, 0.0000, 0.0000)  2 In 3.01
Ce (0.2593, 0.0887, 0.3919)  2 Ce 2.75-2.89

---

The following is a DFT calculation (PBE) of a relaxed Rb2ScIrF6 crystal.

Calculated values
Its symmetry is I4/mmm. The magnetization is 2.0 μB per formula unit. As for the formation energy (no corrections): -2479 meV/atom.

Unit cell a=6.6086 b=6.6086 c=6.2552 alpha=58.11 beta=58.11 gamma=90.00
With the nearest neighbours (Å) after each atom.
Fractional positions:
Sc (0.5000, 0.5000, 0.0000)  6 F 2.02-2.06
F (0.2528, 0.2528, 0.4945)  1 Sc 2.06, 1 Ir 2.10
F (0.7472, 0.7472, 0.5055)  1 Sc 2.06, 1 Ir 2.10
F (0.7160, 0.7160, 0.0000)  1 Sc 2.02
F (0.2840, 0.2840, 0.0000)  1 Sc 2.02
F (0.7160, 0.2840, 0.0000)  1 Sc 2.02
F (0.2840, 0.7160, 0.0000)  1 Sc 2.02
Ir (0.0000, 0.0000, 0.0000)  2 F 2.10
Rb (0.2500, 0.7500, 0.5000)  12 F 3.14-3.30
Rb (0.7500, 0.2500, 0.5000)  12 F 3.14-3.30

---

The following is a DFT calculation (PBE) of a relaxed Sr2GeO4 crystal.

Calculated values
Its symmetry is Pna2_1. The magnetization is 0.0 μB per formula unit. As for the formation energy (no corrections): -2517 meV/atom.

Unit cell a=5.9522 b=10.0500 c=14.4830 alpha=90.00 beta=90.00 gamma=90.00
With the nearest neighbours (Å) after each atom.
Fractional positions:
O (0.6696, 0.4594, 0.1362)  1 Ge 1.76
O (0.2897, 0.0622, 0.5440)  1 Ge 1.79
Sr (0.7777, 0.0680, 0.0431)  5 O 2.45-2.70
O (0.5088, 0.2099, 0.7545)  1 Ge 1.78
O (0.6782, 0.0491, 0.3755)  1 Ge 1.77
O (0.4505, 0.8009, 0.4928)  1 Ge 1.77
Ge (0.7815, 0.0845, 0.2639)  4 O 1.77-1.81
O (0.0088, 0.7099, 0.7455)  1 Ge 1.78
Sr (0.7091, 0.4297, 0.7953)  5 O 2.43-2.72
Sr (0.2709, 0.2969, 0.1296)  6 O 2.47-2.69
O (0.2103, 0.0622, 0.0440)  1 Ge 1.79
O (0.1396, 0.4361, 0.7984)  1 Ge 1.81
O (0.7897, 0.5622, 0.9560)  1 Ge 1.79
O (0.3304, 0.9594, 0.8638)  1 Ge 1.76
O (0.5259, 0.8478, 0.0278)  1 Ge 1.80
O (0.8304, 0.4594, 0.6362)  1 Ge 1.76
O (0.4741, 0.3478, 0.9722)  1 Ge 1.80
Sr (0.7909, 0.4297, 0.2953)  5 O 2.43-2.72
Sr (0.2954, 0.2034, 0.3807)  7 O 2.54-2.76
Ge (0.2815, 0.5845, 0.2361)  4 O 1.77-1.81
Sr (0.2091, 0.9297, 0.7047)  5 O 2.43-2.72
O (0.4643, 0.6386, 0.7978)  1 Ge 1.80
O (0.5495, 0.3009, 0.5072)  1 Ge 1.77
O (0.8218, 0.0491, 0.8755)  1 Ge 1.77
Sr (0.7709, 0.7969, 0.3704)  6 O 2.47-2.69
Sr (0.2046, 0.2034, 0.8807)  7 O 2.54-2.76
Sr (0.2223, 0.5680, 0.9569)  5 O 2.45-2.70
O (0.5357, 0.1386, 0.2022)  1 Ge 1.80
Ge (0.2270, 0.9150, 0.4790)  4 O 1.76-1.80
O (0.6396, 0.9361, 0.7016)  1 Ge 1.81
Ge (0.7185, 0.0845, 0.7639)  4 O 1.77-1.81
Ge (0.7270, 0.4150, 0.0210)  4 O 1.76-1.80
Sr (0.2909, 0.9297, 0.2047)  5 O 2.43-2.72
O (0.0495, 0.8009, 0.9928)  1 Ge 1.77
O (0.9741, 0.8478, 0.5278)  1 Ge 1.80
O (0.0357, 0.6386, 0.2978)  1 Ge 1.80
Sr (0.2291, 0.2969, 0.6296)  6 O 2.47-2.69
O (0.9505, 0.3009, 0.0072)  1 Ge 1.77
O (0.4912, 0.7099, 0.2455)  1 Ge 1.78
O (0.3218, 0.5491, 0.6245)  1 Ge 1.77
Sr (0.7954, 0.7034, 0.1193)  7 O 2.54-2.76
Ge (0.7730, 0.4150, 0.5210)  4 O 1.76-1.80
Ge (0.2185, 0.5845, 0.7361)  4 O 1.77-1.81
Sr (0.7223, 0.0680, 0.5431)  5 O 2.45-2.70
O (0.8604, 0.9361, 0.2016)  1 Ge 1.81
O (0.9912, 0.2099, 0.2545)  1 Ge 1.78
O (0.1782, 0.5491, 0.1245)  1 Ge 1.77
Ge (0.2730, 0.9150, 0.9790)  4 O 1.76-1.80
O (0.7103, 0.5622, 0.4560)  1 Ge 1.79
Sr (0.7291, 0.7969, 0.8704)  6 O 2.47-2.69
Sr (0.2777, 0.5680, 0.4569)  5 O 2.45-2.70
O (0.3604, 0.4361, 0.2984)  1 Ge 1.81
Sr (0.7046, 0.7034, 0.6193)  7 O 2.54-2.76
O (0.9643, 0.1386, 0.7022)  1 Ge 1.80
O (0.0259, 0.3478, 0.4722)  1 Ge 1.80
O (0.1696, 0.9594, 0.3638)  1 Ge 1.76

---

The following is a DFT calculation (PBE) of a relaxed Ba2LiErHg6 crystal.

Calculated values
Its symmetry is P-1. The magnetization is 0.0 μB per formula unit. The formation energy is -332.5 meV/atom.

Unit cell a=7.5557 b=7.7357 c=7.7374 alpha=53.06 beta=72.15 gamma=95.61
With the nearest neighbours (Å) after each atom.
Fractional positions:
Hg (0.3746, 0.2336, 0.8714)  1 Li 2.72, 1 Er 2.97
Hg (0.7536, 0.2317, 0.0067)  1 Li 2.72, 1 Er 2.95
Li (0.0000, 0.0000, 0.0000)  6 Hg 2.72-2.74
Er (0.5000, 0.5000, 0.0000)  6 Hg 2.95-2.97
Hg (0.2464, 0.7683, 0.9933)  1 Li 2.72, 1 Er 2.95
Ba (0.8037, 0.2535, 0.4510)  7 Hg 3.57-3.87
Hg (0.6254, 0.7664, 0.1286)  1 Li 2.72, 1 Er 2.97
Hg (0.7470, 0.7537, 0.4795)  1 Li 2.74, 1 Er 2.95
Ba (0.1963, 0.7465, 0.5490)  7 Hg 3.57-3.87
Hg (0.2530, 0.2463, 0.5205)  1 Li 2.74, 1 Er 2.95

---

For each record above, in turn, the calculated N(E_F) values are 0.75 2.50 0.00 0.00 0.67 states/eV per atom.